Entry 1:
Entry from the Alexandria database: a relaxed structure of KHfIn2Br8 (PBE).

Geometry as POSCAR:
```
KHfIn2Br8
1.0
6.797 0.000 0.000
0.121 7.233 0.000
0.014 0.000 9.173
K Hf In Br
1 1 2 8
direct
0.000 0.000 0.000 K
0.000 0.000 0.500 Hf
0.500 0.500 0.248 In
0.500 0.500 0.752 In
0.209 0.302 0.500 Br
0.232 0.860 0.703 Br
0.233 0.861 0.296 Br
0.288 0.357 0.000 Br
0.712 0.643 0.000 Br
0.767 0.139 0.704 Br
0.768 0.140 0.297 Br
0.791 0.698 0.500 Br
```

Results
Fermi-level density of states ... 4.969 states/eV/f.u.
Size of the total moment ... 0.000 μB/cell
E_tot ... -43.275 eV/cell

---

Entry 2:
Entry from the Alexandria database: a relaxed structure of CaMn2Tc (PBE).

Geometry as POSCAR:
```
CaMn2Tc
1.0
0.000 3.089 3.089
3.089 0.000 3.089
3.089 3.089 0.000
Ca Mn Tc
1 2 1
direct
0.000 0.000 0.000 Ca
0.250 0.250 0.250 Mn
0.750 0.750 0.750 Mn
0.500 0.500 0.500 Tc
```

Results
Fermi-level density of states ... 3.535 states/eV/f.u.
Size of the total moment ... 0.933 μB/cell
Distance to the lowest polymorph of the same formula ... 0.338 eV/atom
ΔE_f ... 0.698 eV/atom

---

Entry 3:
Entry from the Alexandria database: a relaxed structure of CoHgPCl2 (PBE).

Geometry as POSCAR:
```
CoHgPCl2
1.0
4.800 0.000 0.000
0.000 4.800 0.000
0.000 0.000 4.367
Co Hg P Cl
1 1 1 2
direct
0.000 0.000 0.000 Co
0.500 0.500 0.500 Hg
0.000 0.000 0.500 P
0.000 0.500 0.000 Cl
0.500 0.000 0.000 Cl
```

Results
Fermi-level density of states ... 2.020 states/eV/f.u.
Size of the total moment ... 0.065 μB/cell
Distance to the lowest polymorph of the same formula ... 0.000 eV/atom

---

Entry 4:
Entry from the Alexandria database: a relaxed structure of YAl2In (PBE).

Geometry as POSCAR:
```
YAl2In
1.0
1.644 0.949 10.000
-1.644 0.949 10.000
0.000 -1.898 10.000
Y Al In
1 2 1
direct
0.000 0.000 0.000 Y
0.248 0.248 0.248 Al
0.752 0.752 0.752 Al
0.500 0.500 0.500 In
```

Results
Fermi-level density of states ... 4.071 states/eV/f.u.
Size of the total moment ... 0.000 μB/cell
ΔE_f ... 0.037 eV/atom

---

Entry 5:
Entry from the Alexandria database: a relaxed structure of LaEuCuPb (PBE).

Geometry as POSCAR:
```
LaEuCuPb
1.0
0.000 3.870 3.870
3.870 0.000 3.870
3.870 3.870 0.000
La Eu Cu Pb
1 1 1 1
direct
0.000 0.000 0.000 La
0.500 0.500 0.500 Eu
0.250 0.250 0.250 Cu
0.750 0.750 0.750 Pb
```

Results
Fermi-level density of states ... 10.662 states/eV/f.u.
Size of the total moment ... 7.210 μB/cell
ΔE_f ... -0.342 eV/atom

---

Entry 6:
Entry from the Alexandria database: a relaxed structure of LiRuBr6 (PBE).

Geometry as POSCAR:
```
LiRuBr6
1.0
3.402 -5.980 0.000
3.402 5.980 0.000
-2.828 0.000 6.126
Li Ru Br
1 1 6
direct
0.000 0.000 0.000 Li
0.500 0.500 0.500 Ru
0.111 0.409 0.257 Br
0.284 0.284 0.716 Br
0.409 0.111 0.257 Br
0.591 0.889 0.743 Br
0.716 0.716 0.284 Br
0.889 0.591 0.743 Br
```

Results
Fermi-level density of states ... 4.565 states/eV/f.u.
Size of the total moment ... 2.844 μB/cell
Distance to the lowest polymorph of the same formula ... 0.000 eV/atom

---

Entry 7:
Entry from the Alexandria database: a relaxed structure of Pu2CoC2 (PBE).

Geometry as POSCAR:
```
Pu2CoC2
1.0
1.623 -8.079 0.000
1.623 8.079 0.000
0.000 0.000 5.307
Pu Co C
4 2 4
direct
0.028 0.972 0.500 Pu
0.192 0.808 0.273 Pu
0.808 0.192 0.773 Pu
0.972 0.028 0.000 Pu
0.369 0.631 0.339 Co
0.631 0.369 0.839 Co
0.186 0.814 0.772 C
0.422 0.578 0.662 C
0.578 0.422 0.162 C
0.814 0.186 0.272 C
```

Results
Fermi-level density of states ... 11.482 states/eV/f.u.
Size of the total moment ... 18.568 μB/cell
ΔE_f ... 0.034 eV/atom

---

Entry 8:
Entry from the Alexandria database: a relaxed structure of CoTcPt2 (PBE).

Geometry as POSCAR:
```
CoTcPt2
1.0
2.719 0.000 0.000
0.000 3.900 0.000
0.000 0.000 5.366
Co Tc Pt
1 1 2
direct
0.000 0.000 0.000 Co
0.000 0.000 0.500 Tc
0.500 0.500 0.248 Pt
0.500 0.500 0.752 Pt
```

Results
Fermi-level density of states ... 5.318 states/eV/f.u.
Size of the total moment ... 1.820 μB/cell
Distance to the lowest polymorph of the same formula ... 0.029 eV/atom
ΔE_f ... -0.072 eV/atom

---

Entry 9:
Entry from the Alexandria database: a relaxed structure of NdMg3Ga3 (PBE).

Geometry as POSCAR:
```
NdMg3Ga3
1.0
7.289 0.000 0.000
0.000 7.289 0.000
0.000 0.000 7.289
Nd Mg Ga
2 6 6
direct
0.000 0.000 0.000 Nd
0.500 0.500 0.500 Nd
0.000 0.250 0.500 Mg
0.000 0.750 0.500 Mg
0.250 0.500 0.000 Mg
0.500 0.000 0.250 Mg
0.500 0.000 0.750 Mg
0.750 0.500 0.000 Mg
0.000 0.500 0.250 Ga
0.000 0.500 0.750 Ga
0.250 0.000 0.500 Ga
0.500 0.250 0.000 Ga
0.500 0.750 0.000 Ga
0.750 0.000 0.500 Ga
```

Results
Fermi-level density of states ... 6.174 states/eV/f.u.
Size of the total moment ... 0.000 μB/cell
Distance to the lowest polymorph of the same formula ... 0.560 eV/atom
ΔE_f ... 0.293 eV/atom

---

Entry 10:
Entry from the Alexandria database: a relaxed structure of YTl2Ag2 (PBE).

Geometry as POSCAR:
```
YTl2Ag2
1.0
7.937 0.000 0.000
0.000 7.937 0.000
0.000 0.000 3.902
Y Tl Ag
2 4 4
direct
0.000 0.000 0.000 Y
0.500 0.500 0.000 Y
0.180 0.320 0.500 Tl
0.320 0.820 0.500 Tl
0.680 0.180 0.500 Tl
0.820 0.680 0.500 Tl
0.123 0.623 0.000 Ag
0.377 0.123 0.000 Ag
0.623 0.877 0.000 Ag
0.877 0.377 0.000 Ag
```

Results
Fermi-level density of states ... 2.327 states/eV/f.u.
Size of the total moment ... 0.000 μB/cell
Distance to the lowest polymorph of the same formula ... 0.000 eV/atom
ΔE_f ... -0.026 eV/atom

---

Entry 11:
Entry from the Alexandria database: a relaxed structure of MgTe (PBE).

Geometry as POSCAR:
```
MgTe
1.0
12.399 0.000 0.000
0.000 12.399 0.000
0.000 0.000 4.639
Mg Te
8 8
direct
0.074 0.384 0.000 Mg
0.123 0.717 0.500 Mg
0.283 0.123 0.500 Mg
0.384 0.926 0.000 Mg
0.616 0.074 0.000 Mg
0.717 0.877 0.500 Mg
0.877 0.283 0.500 Mg
0.926 0.616 0.000 Mg
0.105 0.261 0.500 Te
0.161 0.593 0.000 Te
0.261 0.895 0.500 Te
0.407 0.161 0.000 Te
0.593 0.839 0.000 Te
0.739 0.105 0.500 Te
0.839 0.407 0.000 Te
0.895 0.739 0.500 Te
```

Results
Fermi-level density of states ... 0.000 states/eV/f.u.
Size of the total moment ... 0.000 μB/cell
E_tot ... -50.810 eV/cell

---

Entry 12:
Entry from the Alexandria database: a relaxed structure of Ni15Sb4As (PBE).

Geometry as POSCAR:
```
Ni15Sb4As
1.0
3.715 0.000 0.000
0.000 3.715 0.000
0.000 0.000 18.432
Ni Sb As
15 4 1
direct
0.000 0.000 0.000 Ni
0.000 0.000 0.194 Ni
0.000 0.000 0.398 Ni
0.000 0.000 0.602 Ni
0.000 0.000 0.806 Ni
0.000 0.500 0.093 Ni
0.000 0.500 0.297 Ni
0.000 0.500 0.500 Ni
0.000 0.500 0.703 Ni
0.000 0.500 0.907 Ni
0.500 0.000 0.093 Ni
0.500 0.000 0.297 Ni
0.500 0.000 0.500 Ni
0.500 0.000 0.703 Ni
0.500 0.000 0.907 Ni
0.500 0.500 0.195 Sb
0.500 0.500 0.398 Sb
0.500 0.500 0.602 Sb
0.500 0.500 0.805 Sb
0.500 0.500 0.000 As
```

Results
Fermi-level density of states ... 17.312 states/eV/f.u.
Size of the total moment ... 0.000 μB/cell
E_tot ... -110.631 eV/cell

---

> size of the total moment of number 10 (YTl2Ag2)?

0.000 μB/cell

---

> Among the records above, which one has the highest Fermi-level density of states?

Ni15Sb4As